Below is a relaxed structure of Tl2Ag, with properties calculated at the PBE level.

Lattice parameters (Å, degrees): 3.459 3.459 7.607 90.00 90.00 120.00
Fractional positions:
Ag1 0.000 0.000 0.000
Tl1 0.333 0.667 0.310
Tl2 0.667 0.333 0.690

* ΔH_f (0 K): 115 meV per atom
* symmetry: P-3m1, No. 164
* spin magnetization: 0.0 Bohr magnetons per cell
* ρ: 10.88 g/cm3


Below is a relaxed structure of TlAg2, with properties calculated at the PBE level.

Lattice parameters (Å, degrees): 5.897 5.897 7.599 69.79 69.79 31.29
Fractional positions:
Tl1 0.309 0.309 0.938
Ag1 0.328 0.328 0.326
Tl2 0.636 0.636 0.673
Ag2 0.019 0.019 0.048
Ag3 0.617 0.617 0.286
Ag4 0.925 0.925 0.563

* ΔH_f (0 K): 91 meV per atom
* symmetry: C2/m, No. 12
* spin magnetization: 0.0 Bohr magnetons per cell
* ρ: 10.89 g/cm3


Below is a relaxed structure of Tl3Ag, with properties calculated at the PBE level.

Lattice parameters (Å, degrees): 3.427 3.427 9.319 90.00 90.00 94.64
Fractional positions:
Tl1 0.000 0.000 0.500
Tl2 0.500 0.500 0.785
Tl3 0.500 0.500 0.215
Ag1 0.000 0.000 0.000

* ΔH_f (0 K): 71 meV per atom
* symmetry: Cmmm, No. 65
* spin magnetization: 0.0 Bohr magnetons per cell
* ρ: 10.98 g/cm3


Below is a relaxed structure of Tl2Ag3, with properties calculated at the PBE level.

Lattice parameters (Å, degrees): 4.890 4.890 5.873 90.00 90.00 120.00
Fractional positions:
Tl1 0.333 0.667 0.811
Ag1 0.000 0.000 0.000
Ag2 0.333 0.667 0.327
Ag3 0.667 0.333 0.673
Tl2 0.667 0.333 0.189

* ΔH_f (0 K): 235 meV per atom
* symmetry: P-3m1, No. 164
* spin magnetization: 0.0 Bohr magnetons per cell
* ρ: 10.00 g/cm3


Below is a relaxed structure of Tl5Ag24, with properties calculated at the PBE level.

Lattice parameters (Å, degrees): 9.079 9.079 9.079 109.47 109.47 109.47
Fractional positions:
Tl1 0.636 0.636 0.636
Tl2 0.364 0.000 0.000
Ag1 0.192 0.192 0.808
Ag2 0.000 0.616 0.808
Ag3 0.192 0.808 0.192
Ag4 0.384 0.384 0.192
Ag5 0.267 0.682 0.682
Ag6 0.808 0.000 0.616
Ag7 0.000 0.808 0.616
Ag8 0.000 0.585 0.318
Ag9 0.682 0.682 0.267
Ag10 0.585 0.318 0.000
Ag11 0.415 0.733 0.415
Ag12 0.682 0.267 0.682
Ag13 0.808 0.192 0.192
Ag14 0.318 0.000 0.585
Ag15 0.000 0.318 0.585
Ag16 0.616 0.000 0.808
Ag17 0.585 0.000 0.318
Ag18 0.808 0.616 0.000
Ag19 0.415 0.415 0.733
Tl3 0.000 0.364 0.000
Ag20 0.733 0.415 0.415
Ag21 0.384 0.192 0.384
Ag22 0.616 0.808 0.000
Ag23 0.318 0.585 0.000
Ag24 0.192 0.384 0.384
Tl4 0.000 0.000 0.364
Tl5 0.000 0.000 0.000

* ΔH_f (0 K): 113 meV per atom
* symmetry: I-43m, No. 217
* spin magnetization: 0.0 Bohr magnetons per cell
* ρ: 10.41 g/cm3


Below is a relaxed structure of TlAg5, with properties calculated at the PBE level.

Lattice parameters (Å, degrees): 4.315 4.149 6.781 107.81 90.00 90.00
Fractional positions:
Ag1 0.000 0.671 0.342
Ag2 0.500 0.172 0.343
Ag3 0.000 0.329 0.658
Ag4 0.500 0.828 0.657
Ag5 0.500 0.500 0.000
Tl1 0.000 0.000 0.000

* ΔH_f (0 K): 73 meV per atom
* symmetry: Cmmm, No. 65
* spin magnetization: 0.0 Bohr magnetons per cell
* ρ: 10.68 g/cm3


Below is a relaxed structure of Tl3Ag, with properties calculated at the PBE level.

Lattice parameters (Å, degrees): 6.060 6.060 6.060 90.00 90.00 90.00
Fractional positions:
Tl1 0.500 0.000 0.250
Ag1 0.500 0.500 0.500
Tl2 0.000 0.750 0.500
Tl3 0.500 0.000 0.750
Tl4 0.750 0.500 0.000
Ag2 0.000 0.000 0.000
Tl5 0.250 0.500 0.000
Tl6 0.000 0.250 0.500

* ΔH_f (0 K): 124 meV per atom
* symmetry: Pm-3n, No. 223
* spin magnetization: 0.0 Bohr magnetons per cell
* ρ: 10.76 g/cm3


Below is a relaxed structure of TlAg8, with properties calculated at the PBE level.

Lattice parameters (Å, degrees): 6.637 6.637 6.637 95.98 95.98 142.34
Fractional positions:
Ag1 0.662 0.000 0.662
Ag2 0.329 0.329 0.657
Ag3 0.329 0.671 0.000
Ag4 0.671 0.329 0.000
Ag5 0.338 0.000 0.338
Ag6 0.000 0.338 0.338
Ag7 0.671 0.671 0.343
Ag8 0.000 0.662 0.662
Tl1 0.000 0.000 0.000

* ΔH_f (0 K): 62 meV per atom
* symmetry: I4/mmm, No. 139
* spin magnetization: 0.0 Bohr magnetons per cell
* ρ: 10.48 g/cm3